The following is a meta-GGA SCAN calculation of a PBEsol-optimized structure of SiAsRh, from Alexandria.

a = 5.787 Å, b = 5.787 Å, c = 5.787 Å
α = 90.00°, β = 90.00°, γ = 90.00°
Space group F-43m (No. 216)
Symmetry-distinct sites (fractional):
Si 0.000 0.000 0.000
As 0.250 0.250 0.750
Rh 0.250 0.250 0.250

Its crystal system is cubic. The value obtained for the total energy is -21.35 eV per atom. The value obtained for the energy above the most stable polymorph in this dataset is 213 meV/atom.